The following is a DFT calculation (PBE) of Ta2MoRu after structural relaxation.

a = 6.3962 Å, b = 6.3962 Å, c = 6.3962 Å
α = 90.00°, β = 90.00°, γ = 90.00°
Closest atoms and distances in Å follow each position.
Space group Fm-3m (No. 225)
Unique sites:
Ta 0.2500 0.2500 0.2500 (multiplicity 8)  4 Mo 2.77, 4 Ru 2.77
Mo 0.0000 0.0000 0.0000 (multiplicity 4)  8 Ta 2.77
Ru 0.0000 0.0000 0.5000 (multiplicity 4)  8 Ta 2.77

Density of states at the Fermi level = 4.6 states/eV per cell
Energy = -11.329 eV per atom
Energy relative to the elements = -0.376 eV/atom
E above lowest polymorph = 0 meV/atom